1.
Here is Tm3Ag2Au4 after structural relaxation from Alexandria via LeMat-Bulk. Energies are from PBE.

The calculation puts the volume at 762 Å³/cell. The value obtained for the final energy is -4.19 eV per atom. The value obtained for the total magnetic moment is 0.000 μB/atom. As for the crystal system: monoclinic.

The space group is C2/c (No. 15) and the conventional cell measures 13.7638, 10.7298 and 5.2541 Å, with angles of 90.00, 101.03 and 90.00 degrees. Symmetry generates all atoms from Tm at (0.0000, 0.1213, 0.2500), Tm at (0.1594, 0.3755, 0.0643), Ag at (0.2223, 0.1263, 0.3729), Au at (0.0625, 0.3681, 0.5148) and Au at (0.1154, 0.1216, 0.8215).

2.
Here is Ni2AgAu after structural relaxation from Alexandria via LeMat-Bulk. Energies are from PBE.

The calculation puts the volume at 230 Å³/cell. The value obtained for the final energy is -4.22 eV per atom. The value obtained for the total magnetic moment is 0.188 μB/atom. As for the crystal system: orthorhombic.

The space group is Fmmm (No. 69) and the conventional cell measures 5.6160, 5.6592 and 7.2505 Å, with angles of 90.00, 90.00 and 90.00 degrees. Symmetry generates all atoms from Ni at (0.2500, 0.2500, 0.2500), Ag at (0.0000, 0.0000, 0.0000) and Au at (0.0000, 0.0000, 0.5000).

3.
Here is AcLuP2 after structural relaxation from Alexandria via LeMat-Bulk. Energies are from PBE.

The calculation puts the volume at 94 Å³/cell. The value obtained for the total magnetic moment is 0.000 μB/atom. As for the crystal system: tetragonal. As for the relative energy among the computed polymorphs: 203 kJ/mol of formula units.

The space group is P4/mmm (No. 123) and the conventional cell measures 5.1009, 5.1009 and 3.6198 Å, with angles of 90.00, 90.00 and 90.00 degrees. Symmetry generates all atoms from Ac at (0.0000, 0.0000, 0.0000), Lu at (0.5000, 0.5000, 0.0000) and P at (0.0000, 0.5000, 0.5000).

4.
Here is BaYBr2 after structural relaxation from Alexandria via LeMat-Bulk. Energies are from PBE.

The calculation puts the volume at 292 Å³/cell. The value obtained for the total magnetic moment is 0.000 μB/atom. As for the crystal system: tetragonal. As for the uncorrected formation energy: -951 meV/atom. As for the relative energy among the computed polymorphs: 102 kJ/mol of formula units.

The space group is I-4m2 (No. 119) and the conventional cell measures 4.4605, 4.4605 and 14.6554 Å, with angles of 90.00, 90.00 and 90.00 degrees. Symmetry generates all atoms from Ba at (0.0000, 0.0000, 0.0000), Y at (0.0000, 0.5000, 0.2500), Br at (0.0000, 0.0000, 0.5000) and Br at (0.0000, 0.5000, 0.7500).